TlTc2F8, relaxed, DFT PBE; SG = No. 12; DFT total energy = -5.21 eV/atom
1.0
0.070 -2.926 -2.849
-5.473 -3.371 2.943
-6.752 1.162 -1.744
F Tc Tl
8 2 1
Direct
0.079 0.762 0.762 F
0.572 0.053 0.633 F
0.782 0.589 0.589 F
0.572 0.633 0.053 F
0.428 0.947 0.367 F
0.428 0.367 0.947 F
0.218 0.411 0.411 F
0.921 0.238 0.238 F
0.436 0.274 0.274 Tc
0.564 0.726 0.726 Tc
0.000 0.000 0.000 Tl

---

TlTc2F8, relaxed, DFT PBE; SG = No. 2; DFT total energy = -5.32 eV/atom
1.0
-4.010 1.289 0.622
-0.811 -7.287 4.385
1.438 6.885 2.087
Tl Tc F
1 2 8
Direct
0.000 0.000 0.000 Tl
0.725 0.614 0.225 Tc
0.275 0.386 0.775 Tc
0.234 0.148 0.755 F
0.685 0.359 0.173 F
0.319 0.212 0.424 F
0.769 0.406 0.812 F
0.766 0.852 0.245 F
0.315 0.641 0.827 F
0.231 0.594 0.188 F
0.681 0.788 0.576 F

---

TlTcF3, relaxed, DFT PBE; SG = No. 221; DFT total energy = -5.02 eV/atom
1.0
4.431 0.000 0.000
0.000 4.431 0.000
0.000 0.000 4.431
F Tc Tl
3 1 1
Direct
0.000 0.500 0.000 F
0.000 0.000 0.500 F
0.500 0.000 0.000 F
0.000 0.000 0.000 Tc
0.500 0.500 0.500 Tl

---

Tl3TcF, relaxed, DFT PBE; SG = No. 221; DFT total energy = -3.83 eV/atom
1.0
-4.270 -2.940 1.158
0.846 -2.940 -4.343
3.044 -3.307 2.831
Tl F Tc
3 1 1
Direct
0.000 0.500 0.000 Tl
0.000 0.000 0.500 Tl
0.500 0.000 0.000 Tl
0.500 0.500 0.500 F
0.000 0.000 0.000 Tc

---

N(E_F) in states/eV per cell, matching the order above: 5.55, 0.89, 3.41, 3.92
Uncorrected formation energy in meV/atom, matching the order above: -1748, -1860, -1346, 34